Density functional theory data (PBE-GGA) for a relaxed structure of LiNd2Si3Ni12.

The structure in POSCAR format:
```
LiNd2Si3Ni12
1.0
-6.077 1.168 1.110
-2.142 -5.278 -2.663
-0.302 -3.309 5.338
Li Nd Si Ni
1 2 3 12
direct
0.000 0.000 0.000
0.648 0.648 0.648
0.352 0.352 0.352
0.500 0.000 0.000
0.000 0.500 0.000
0.000 0.000 0.500
0.381 0.381 0.906
0.816 0.816 0.292
0.292 0.816 0.816
0.906 0.381 0.381
0.816 0.292 0.816
0.381 0.906 0.381
0.619 0.619 0.094
0.184 0.184 0.708
0.708 0.184 0.184
0.094 0.619 0.619
0.184 0.708 0.184
0.619 0.094 0.619
```

## Properties
* uncorrected formation energy: -134 meV/atom
* volume: 13.62 Å³ per atom
* total magnetic moment: 0.0 μB/f.u.
* symmetry: R-3m